# 1
DFT (GGA-PBE) results for an optimized crystal structure of CsCr2Ru.

Calculated formation energy   1908 meV/atom

Structure (CIF):
```
data_CsCr2Ru
_chemical_formula_sum 'Cs4 Cr8 Ru4'
_cell_length_a 6.388
_cell_length_b 6.388
_cell_length_c 6.388
_cell_angle_alpha 90.00
_cell_angle_beta 90.00
_cell_angle_gamma 90.00
_symmetry_space_group_name_H-M 'P 1'
_symmetry_Int_Tables_number 1
loop_
_symmetry_equiv_pos_as_xyz
'x,y,z'
loop_
_atom_site_label
_atom_site_fract_x
_atom_site_fract_y
_atom_site_fract_z
_atom_site_occupancy
Cs1 0.000 0.000 0.000 1
Cs2 0.000 0.500 0.500 1
Cs3 0.500 0.000 0.500 1
Cs4 0.500 0.500 0.000 1
Cr1 0.250 0.250 0.250 1
Cr2 0.250 0.250 0.750 1
Cr3 0.250 0.750 0.250 1
Cr4 0.250 0.750 0.750 1
Cr5 0.750 0.250 0.250 1
Cr6 0.750 0.250 0.750 1
Cr7 0.750 0.750 0.250 1
Cr8 0.750 0.750 0.750 1
Ru1 0.000 0.000 0.500 1
Ru2 0.000 0.500 0.000 1
Ru3 0.500 0.000 0.000 1
Ru4 0.500 0.500 0.500 1
```

# 2
DFT (GGA-PBE) results for an optimized crystal structure of Cs2CrRuW.

Calculated formation energy   2334 meV/atom

Structure (CIF):
```
data_Cs2CrRuW
_chemical_formula_sum 'Cs2 Cr1 Ru1 W1'
_cell_length_a 6.523
_cell_length_b 6.523
_cell_length_c 4.645
_cell_angle_alpha 90.00
_cell_angle_beta 90.00
_cell_angle_gamma 90.00
_symmetry_space_group_name_H-M 'P 1'
_symmetry_Int_Tables_number 1
loop_
_symmetry_equiv_pos_as_xyz
'x,y,z'
loop_
_atom_site_label
_atom_site_fract_x
_atom_site_fract_y
_atom_site_fract_z
_atom_site_occupancy
Cs1 0.000 0.500 0.000 1
Cs2 0.500 0.000 0.000 1
Cr1 0.000 0.000 0.000 1
Ru1 0.500 0.500 0.500 1
W1 0.000 0.000 0.500 1
```

# 3
DFT (GGA-PBE) results for an optimized crystal structure of CsCr2S.

Energy relative to the elements, uncorrected   37.05 kcal/mol of atoms

Structure (CIF):
```
data_CsCr2S
_chemical_formula_sum 'Cs4 Cr8 S4'
_cell_length_a 6.319
_cell_length_b 6.319
_cell_length_c 6.319
_cell_angle_alpha 90.00
_cell_angle_beta 90.00
_cell_angle_gamma 90.00
_symmetry_space_group_name_H-M 'P 1'
_symmetry_Int_Tables_number 1
loop_
_symmetry_equiv_pos_as_xyz
'x,y,z'
loop_
_atom_site_label
_atom_site_fract_x
_atom_site_fract_y
_atom_site_fract_z
_atom_site_occupancy
Cs1 0.000 0.000 0.000 1
Cs2 0.000 0.500 0.500 1
Cs3 0.500 0.000 0.500 1
Cs4 0.500 0.500 0.000 1
Cr1 0.250 0.250 0.250 1
Cr2 0.250 0.250 0.750 1
Cr3 0.250 0.750 0.250 1
Cr4 0.250 0.750 0.750 1
Cr5 0.750 0.250 0.250 1
Cr6 0.750 0.250 0.750 1
Cr7 0.750 0.750 0.250 1
Cr8 0.750 0.750 0.750 1
S1 0.000 0.000 0.500 1
S2 0.000 0.500 0.000 1
S3 0.500 0.000 0.000 1
S4 0.500 0.500 0.500 1
```

Result set for magnetization: 0.00 3.08 0.00 μB per formula unit, one per record in the order listed.